AsPRh: relaxed, PBE-GGA.

Cell: 4.144 4.144 4.144 Å, 60.00 60.00 60.00°
Sites, in units of the cell vectors:
As1 0.500 0.500 0.500
P1 0.750 0.750 0.750
Rh1 0.000 0.000 0.000

=====

KLiBe2: relaxed, PBE-GGA.

Cell: 3.725 4.262 12.435 Å, 90.00 90.12 90.00°
Sites, in units of the cell vectors:
K1 0.353 0.000 0.153
K2 0.852 0.500 0.826
Li1 0.342 0.000 0.441
Li2 0.843 0.500 0.402
Be1 0.342 0.000 0.623
Be2 0.842 0.755 0.589
Be3 0.842 0.245 0.589
Be4 0.342 0.500 0.582

=====

CaTcSbAu2: relaxed, PBE-GGA.

Cell: 5.193 4.955 5.193 Å, 90.00 90.00 90.00°
Sites, in units of the cell vectors:
Sb1 0.000 0.500 0.000
Ca1 0.500 0.500 0.500
Au1 0.000 0.000 0.500
Au2 0.500 0.000 0.000
Tc1 0.000 0.000 0.000

Formation energy from raw total energies   0.120 eV/atom

=====

Mn2HgRu: relaxed, PBE-GGA.

Cell: 4.657 4.657 4.974 Å, 78.84 78.84 37.05°
Sites, in units of the cell vectors:
Hg1 0.250 0.250 0.250
Mn1 0.008 0.008 0.977
Mn2 0.492 0.492 0.523
Ru1 0.750 0.750 0.750

=====

AgHgMo2: relaxed, PBE-GGA.

Cell: 2.753 2.753 9.238 Å, 90.00 90.00 90.00°
Sites, in units of the cell vectors:
Ag1 0.000 0.000 0.490
Hg1 0.500 0.500 0.753
Mo1 0.000 0.000 0.007
Mo2 0.500 0.500 0.250

=====

Nd12SmTh7: relaxed, PBE-GGA.

Cell: 10.089 10.089 10.089 Å, 109.47 109.47 109.47°
Sites, in units of the cell vectors:
Nd1 0.464 0.692 0.773
Nd2 0.919 0.692 0.227
Nd3 0.536 0.308 0.227
Nd4 0.081 0.308 0.773
Nd5 0.773 0.081 0.308
Nd6 0.773 0.464 0.692
Nd7 0.227 0.919 0.692
Nd8 0.227 0.536 0.308
Nd9 0.692 0.773 0.464
Nd10 0.308 0.227 0.536
Nd11 0.692 0.227 0.919
Nd12 0.308 0.773 0.081
Sm1 0.000 0.000 0.000
Th1 0.500 0.500 0.000
Th2 0.000 0.500 0.500
Th3 0.500 0.000 0.500
Th4 0.500 0.500 0.500
Th5 0.000 0.000 0.500
Th6 0.500 0.000 0.000
Th7 0.000 0.500 0.000

=====

HgSbTeSe: relaxed, PBE-GGA.

Cell: 5.255 5.255 6.749 Å, 92.27 103.77 130.05°
Sites, in units of the cell vectors:
Hg1 0.209 0.970 0.179
Sb1 0.196 0.442 0.639
Te1 0.457 0.630 0.087
Se1 0.467 0.158 0.625

Formation energy from raw total energies   0.012 eV/atom

=====

SrInAg2Hg: relaxed, PBE-GGA.

Cell: 5.860 6.097 5.860 Å, 90.00 90.00 90.00°
Sites, in units of the cell vectors:
Sr1 0.000 0.000 0.000
Hg1 0.000 0.500 0.000
Ag1 0.000 0.000 0.500
Ag2 0.500 0.000 0.000
In1 0.500 0.500 0.500

=====

Number 1: uncorrected energy -5.680 eV per atom. Number 2: uncorrected energy -2.440 eV per atom. Number 3: uncorrected energy -4.489 eV per atom. Number 4: uncorrected energy -6.557 eV per atom. Number 5: uncorrected energy -5.740 eV per atom. Number 6: uncorrected energy -4.838 eV per atom. Number 7: uncorrected energy -2.751 eV per atom. Number 8: uncorrected energy -1.517 eV per atom.